Material: V2TcHgF
Method: DFT, GGA+U
State: optimized geometry

It has space group P4/mmm (No. 123), with a = 4.1614 Å, b = 4.1614 Å, c = 4.9695 Å, α = 90.00°, β = 90.00° and γ = 90.00°. Symmetry generates all atoms from V at (0.0000, 0.5000, 0.0000), Tc at (0.0000, 0.0000, 0.5000), Hg at (0.5000, 0.5000, 0.5000) and F at (0.5000, 0.5000, 0.0000).

Its total energy is -5.13 eV/atom. Its density of states at the Fermi level is 2.50 states/eV per cell. Its magnetization is 4.116 μB per cell.